A relaxed structure of Mg4ZnGa2Ag2, computed with GGA-PBE.

```
Mg4ZnGa2Ag2
1.0
5.0030 0.0000 0.0000
0.6641 4.9746 0.0000
1.6990 1.0418 6.9163
Mg Zn Ga Ag
4 1 2 2
Direct
0.1692 0.1058 0.2567
0.2715 0.2425 0.7969
0.7285 0.7575 0.2031
0.8308 0.8942 0.7433
0.0000 0.5000 0.5000
0.2910 0.6912 0.0023
0.7090 0.3088 0.9977
0.3926 0.7523 0.5900
0.6074 0.2477 0.4100
```

Results
space-group type = P-1 (2)
DOS(E_F) = 2.1 states/eV per cell
ΔE_f = -0.120 eV per atom

A relaxed structure of MgZnGa2Ag2, computed with GGA-PBE.

```
MgZnGa2Ag2
1.0
6.6654 0.0000 0.0000
0.0000 5.2482 0.0000
-2.7068 0.0000 6.4995
Mg Zn Ga Ag
2 2 4 4
Direct
0.1726 0.2500 0.3376
0.8274 0.7500 0.6624
0.4855 0.7500 0.2814
0.5145 0.2500 0.7186
0.2815 0.5031 0.8804
0.2815 0.9969 0.8804
0.7185 0.0031 0.1196
0.7185 0.4969 0.1196
0.0606 0.7500 0.1071
0.3006 0.7500 0.5493
0.6994 0.2500 0.4507
0.9394 0.2500 0.8929
```

Results
space-group type = P2_1/m (11)
DOS(E_F) = 2.8 states/eV per cell
ΔE_f = -0.037 eV per atom

A relaxed structure of MgZrGaAg, computed with GGA-PBE.

```
MgZrGaAg
1.0
0.0000 3.3619 3.3619
3.3619 0.0000 3.3619
3.3619 3.3619 0.0000
Mg Zr Ga Ag
1 1 1 1
Direct
0.0000 0.0000 0.0000
0.5000 0.5000 0.5000
0.2500 0.2500 0.2500
0.7500 0.7500 0.7500
```

Results
space-group type = F-43m (216)
DOS(E_F) = 1.7 states/eV per cell
ΔE_f = -0.234 eV per atom

A relaxed structure of MnGaAg, computed with GGA-PBE.

```
MnGaAg
1.0
-1.4332 1.4332 5.7194
1.4332 -1.4332 5.7194
1.4332 1.4332 -5.7194
Mn Ga Ag
1 1 1
Direct
0.0000 0.0000 0.0000
0.6442 0.6442 0.0000
0.3235 0.3235 0.0000
```

Results
space-group type = I4mm (107)
DOS(E_F) = 1.8 states/eV per cell
ΔE_f = 0.078 eV per atom

A relaxed structure of MnGa2Ag2, computed with GGA-PBE.

```
MnGa2Ag2
1.0
-1.9481 1.9481 6.4566
1.9481 -1.9481 6.4566
1.9481 1.9481 -6.4566
Mn Ga Ag
1 2 2
Direct
0.0000 0.0000 0.0000
0.4045 0.4045 0.0000
0.5955 0.5955 0.0000
0.2500 0.7500 0.5000
0.7500 0.2500 0.5000
```

Results
space-group type = I4/mmm (139)
DOS(E_F) = 2.9 states/eV per cell
polymorph energy (0 for the lowest one) = 65 meV per atom
ΔE_f = 0.264 eV per atom

A relaxed structure of Mn2GaAg, computed with GGA-PBE.

```
Mn2GaAg
1.0
3.9620 0.0000 0.0000
0.0000 3.9620 0.0000
0.0000 0.0000 3.8268
Mn Ga Ag
2 1 1
Direct
0.0000 0.5000 0.0000
0.5000 0.0000 0.0000
0.0000 0.0000 0.5000
0.5000 0.5000 0.5000
```

Results
space-group type = P4/mmm (123)
DOS(E_F) = 4.3 states/eV per cell
ΔE_f = 0.146 eV per atom

A relaxed structure of MnGaAg, computed with GGA-PBE.

```
MnGaAg
1.0
-1.3838 1.3838 11.9133
1.3838 -1.3838 11.9133
1.3838 1.3838 -11.9133
Mn Ga Ag
2 2 2
Direct
0.0414 0.0414 0.0000
0.9586 0.9586 0.0000
0.3872 0.3872 0.0000
0.6128 0.6128 0.0000
0.2021 0.2021 0.0000
0.7979 0.7979 0.0000
```

Results
space-group type = I4/mmm (139)
DOS(E_F) = 2.1 states/eV per cell
ΔE_f = 0.208 eV per atom

A relaxed structure of MnGa2Ag2, computed with GGA-PBE.

```
MnGa2Ag2
1.0
6.7949 0.0000 0.0000
0.0000 6.7949 0.0000
0.0000 0.0000 3.8042
Mn Ga Ag
2 4 4
Direct
0.0000 0.0000 0.0000
0.5000 0.5000 0.0000
0.1412 0.3588 0.0000
0.3588 0.8588 0.0000
0.6412 0.1412 0.0000
0.8588 0.6412 0.0000
0.1627 0.6627 0.5000
0.3373 0.1627 0.5000
0.6627 0.8373 0.5000
0.8373 0.3373 0.5000
```

Results
space-group type = P4/mbm (127)
DOS(E_F) = 6.4 states/eV per cell
polymorph energy (0 for the lowest one) = 0 meV per atom
ΔE_f = 0.198 eV per atom

A relaxed structure of MnGaNiAg, computed with GGA-PBE.

```
MnGaNiAg
1.0
0.0000 3.0672 3.0672
3.0672 0.0000 3.0672
3.0672 3.0672 0.0000
Mn Ga Ni Ag
1 1 1 1
Direct
0.0000 0.0000 0.0000
0.5000 0.5000 0.5000
0.7500 0.7500 0.7500
0.2500 0.2500 0.2500
```

Results
space-group type = F-43m (216)
DOS(E_F) = 2.2 states/eV per cell
ΔE_f = 0.014 eV per atom

A relaxed structure of MnGaAgPd, computed with GGA-PBE.

```
MnGaAgPd
1.0
0.0000 3.1508 3.1508
3.1508 0.0000 3.1508
3.1508 3.1508 0.0000
Mn Ga Ag Pd
1 1 1 1
Direct
0.0000 0.0000 0.0000
0.5000 0.5000 0.5000
0.2500 0.2500 0.2500
0.7500 0.7500 0.7500
```

Results
space-group type = F-43m (216)
DOS(E_F) = 1.9 states/eV per cell
ΔE_f = -0.158 eV per atom

A relaxed structure of MnGa2AgPt, computed with GGA-PBE.

```
MnGa2AgPt
1.0
5.0641 0.0000 0.0000
0.0000 5.0641 0.0000
0.0000 0.0000 5.2259
Mn Ga Ag Pt
1 2 1 1
Direct
0.0000 0.0000 0.0000
0.0000 0.5000 0.5000
0.5000 0.0000 0.5000
0.0000 0.0000 0.5000
0.5000 0.5000 0.0000
```

Results
space-group type = P4/mmm (123)
DOS(E_F) = 2.2 states/eV per cell
ΔE_f = 0.890 eV per atom

A relaxed structure of MnGaAg2S4, computed with GGA-PBE.

```
MnGaAg2S4
1.0
-2.8368 2.8368 5.4400
2.8368 -2.8368 5.4400
2.8368 2.8368 -5.4400
Mn Ga Ag S
1 1 2 4
Direct
0.0000 0.0000 0.0000
0.2500 0.7500 0.5000
0.5000 0.5000 0.0000
0.7500 0.2500 0.5000
0.1255 0.6591 0.0356
0.3409 0.3765 0.4664
0.6235 0.0899 0.9644
0.9101 0.8745 0.5336
```

Results
energy relative to the elements, uncorrected = -0.406 eV/atom
space-group type = I-4 (82)
DOS(E_F) = 3.3 states/eV per cell

A relaxed structure of MnGaAg2Se4, computed with GGA-PBE.

```
MnGaAg2Se4
1.0
-2.9790 2.9790 5.7343
2.9790 -2.9790 5.7343
2.9790 2.9790 -5.7343
Mn Ga Ag Se
1 1 2 4
Direct
0.0000 0.0000 0.0000
0.2500 0.7500 0.5000
0.5000 0.5000 0.0000
0.7500 0.2500 0.5000
0.1261 0.6526 0.0288
0.3474 0.3761 0.4734
0.6239 0.0973 0.9712
0.9027 0.8739 0.5266
```

Results
energy relative to the elements, uncorrected = -0.350 eV/atom
space-group type = I-4 (82)
DOS(E_F) = 3.0 states/eV per cell

A relaxed structure of Ga2AgMo, computed with GGA-PBE.

```
Ga2AgMo
1.0
-3.4862 3.4862 2.8939
3.4862 -3.4862 2.8939
3.4862 3.4862 -2.8939
Ga Ag Mo
4 2 2
Direct
0.1211 0.6250 0.9961
0.3750 0.3711 0.4961
0.6289 0.1250 0.0039
0.8750 0.8789 0.5039
0.0000 0.0000 0.0000
0.7500 0.2500 0.5000
0.2500 0.7500 0.5000
0.5000 0.5000 0.0000
```

Results
space-group type = I-42d (122)
DOS(E_F) = 5.5 states/eV per cell
polymorph energy (0 for the lowest one) = 363 meV per atom
ΔE_f = 0.402 eV per atom

A relaxed structure of GaAgMo3, computed with GGA-PBE.

```
GaAgMo3
1.0
4.7939 0.0000 0.0000
0.0000 4.7939 0.0000
0.0000 0.0000 4.7939
Ga Ag Mo
1 1 3
Direct
0.0000 0.0000 0.0000
0.5000 0.5000 0.5000
0.0000 0.5000 0.5000
0.5000 0.0000 0.5000
0.5000 0.5000 0.0000
```

Results
space-group type = Pm-3m (221)
DOS(E_F) = 9.2 states/eV per cell
polymorph energy (0 for the lowest one) = 780 meV per atom
ΔE_f = 2.362 eV per atom

A relaxed structure of Ga2AgMo2, computed with GGA-PBE.

```
Ga2AgMo2
1.0
6.7464 0.0000 0.0000
0.0000 6.7464 0.0000
0.0000 0.0000 3.5099
Ga Ag Mo
4 2 4
Direct
0.1313 0.3687 0.0000
0.3687 0.8687 0.0000
0.6313 0.1313 0.0000
0.8687 0.6313 0.0000
0.0000 0.0000 0.0000
0.5000 0.5000 0.0000
0.1681 0.6681 0.5000
0.3319 0.1681 0.5000
0.6681 0.8319 0.5000
0.8319 0.3319 0.5000
```

Results
space-group type = P4/mbm (127)
DOS(E_F) = 9.7 states/eV per cell
polymorph energy (0 for the lowest one) = 27 meV per atom
ΔE_f = 0.235 eV per atom

A relaxed structure of GaAgMo, computed with GGA-PBE.

```
GaAgMo
1.0
2.8552 0.0000 0.0000
1.1322 2.6246 0.0000
0.3141 0.1980 13.3145
Ga Ag Mo
2 2 2
Direct
0.0000 0.0000 0.0000
0.4637 0.4601 0.4852
0.0947 0.0922 0.6522
0.6579 0.6561 0.8331
0.1253 0.1197 0.3213
0.6350 0.6341 0.1639
```

Results
space-group type = P1 (1)
DOS(E_F) = 2.3 states/eV per cell
ΔE_f = 0.002 eV per atom

A relaxed structure of Ga2AgMo2, computed with GGA-PBE.

```
Ga2AgMo2
1.0
7.4246 0.0000 0.0000
0.0000 7.4246 0.0000
0.0000 0.0000 3.0916
Ga Ag Mo
4 2 4
Direct
0.1809 0.3191 0.0000
0.3191 0.8191 0.0000
0.6809 0.1809 0.0000
0.8191 0.6809 0.0000
0.0000 0.0000 0.5000
0.5000 0.5000 0.5000
0.1142 0.6142 0.5000
0.3858 0.1142 0.5000
0.6142 0.8858 0.5000
0.8858 0.3858 0.5000
```

Results
space-group type = P4/mbm (127)
DOS(E_F) = 6.8 states/eV per cell
polymorph energy (0 for the lowest one) = 0 meV per atom
ΔE_f = 0.208 eV per atom

A relaxed structure of Ga6AgMo, computed with GGA-PBE.

```
Ga6AgMo
1.0
3.9865 -2.7167 0.0000
3.9865 2.7167 0.0000
-3.4015 0.0000 6.9795
Ga Ag Mo
6 1 1
Direct
0.0692 0.5714 0.1923
0.1521 0.1521 0.4555
0.4286 0.9308 0.8077
0.5714 0.0692 0.1923
0.8479 0.8479 0.5445
0.9308 0.4286 0.8077
0.5000 0.5000 0.0000
0.5000 0.5000 0.5000
```

Results
space-group type = C2/m (12)
DOS(E_F) = 3.2 states/eV per cell
ΔE_f = 0.121 eV per atom

A relaxed structure of GaAgMo3, computed with GGA-PBE.

```
GaAgMo3
1.0
4.6027 0.0000 0.0000
0.0000 4.6027 0.0000
0.0000 0.0000 4.6027
Ga Ag Mo
1 1 3
Direct
0.0000 0.0000 0.0000
0.5000 0.5000 0.5000
0.0000 0.0000 0.5000
0.0000 0.5000 0.0000
0.5000 0.0000 0.0000
```

Results
space-group type = Pm-3m (221)
DOS(E_F) = 6.4 states/eV per cell
polymorph energy (0 for the lowest one) = 0 meV per atom
ΔE_f = 1.582 eV per atom

A relaxed structure of Ga2AgMo, computed with GGA-PBE.

```
Ga2AgMo
1.0
0.0000 3.1694 3.1694
3.1694 0.0000 3.1694
3.1694 3.1694 0.0000
Ga Ag Mo
2 1 1
Direct
0.2500 0.2500 0.2500
0.7500 0.7500 0.7500
0.0000 0.0000 0.0000
0.5000 0.5000 0.5000
```

Results
space-group type = Fm-3m (225)
DOS(E_F) = 3.1 states/eV per cell
polymorph energy (0 for the lowest one) = 187 meV per atom
ΔE_f = 0.226 eV per atom

A relaxed structure of Ga2AgMo, computed with GGA-PBE.

```
Ga2AgMo
1.0
4.2799 0.0000 0.0000
0.0000 4.2799 0.0000
0.0000 0.0000 3.4538
Ga Ag Mo
2 1 1
Direct
0.0000 0.5000 0.0000
0.5000 0.0000 0.0000
0.0000 0.0000 0.5000
0.5000 0.5000 0.5000
```

Results
space-group type = P4/mmm (123)
DOS(E_F) = 2.8 states/eV per cell
polymorph energy (0 for the lowest one) = 0 meV per atom
ΔE_f = 0.039 eV per atom

A relaxed structure of Ga40AgMo8, computed with GGA-PBE.

```
Ga40AgMo8
1.0
7.0461 4.0681 5.0791
-7.0461 4.0681 5.0791
0.0000 -8.1361 5.0791
Ga Ag Mo
40 1 8
Direct
0.0000 0.0000 0.0000
0.0000 0.0000 0.5000
0.0000 0.5000 0.0000
0.0355 0.2754 0.1705
0.0513 0.4270 0.7203
0.0972 0.2852 0.4660
0.1121 0.1370 0.7639
0.1370 0.7639 0.1121
0.1705 0.0355 0.2754
0.1796 0.6772 0.6248
0.2361 0.8879 0.8630
0.2370 0.5510 0.3720
0.2754 0.1705 0.0355
0.2797 0.9487 0.5730
0.2852 0.4660 0.0972
0.3228 0.3752 0.8204
0.3720 0.2370 0.5510
0.3752 0.8204 0.3228
0.4270 0.7203 0.0513
0.4490 0.6280 0.7630
0.4660 0.0972 0.2852
0.5000 0.0000 0.0000
0.5340 0.9028 0.7148
0.5510 0.3720 0.2370
0.5730 0.2797 0.9487
0.6248 0.1796 0.6772
0.6280 0.7630 0.4490
0.6772 0.6248 0.1796
0.7148 0.5340 0.9028
0.7203 0.0513 0.4270
0.7246 0.8295 0.9645
0.7630 0.4490 0.6280
0.7639 0.1121 0.1370
0.8204 0.3228 0.3752
0.8295 0.9645 0.7246
0.8630 0.2361 0.8879
0.8879 0.8630 0.2361
0.9028 0.7148 0.5340
0.9487 0.5730 0.2797
0.9645 0.7246 0.8295
0.5000 0.5000 0.5000
0.1135 0.7898 0.3875
0.2102 0.6125 0.8865
0.2969 0.2969 0.2969
0.3875 0.1135 0.7898
0.6125 0.8865 0.2102
0.7031 0.7031 0.7031
0.7898 0.3875 0.1135
0.8865 0.2102 0.6125
```

Results
space-group type = R-3 (148)
DOS(E_F) = 21.7 states/eV per cell
ΔE_f = -0.147 eV per atom